Y2CuPd: relaxed, PBE-GGA.

Cell: 6.7821 6.7821 6.7821 Å, 90.00 90.00 90.00°
Closest atoms and distances in Å follow each position.
Sites, in units of the cell vectors:
1 Y 0.0000 0.0000 0.0000  4 Cu 2.94, 4 Y 2.94
2 Y 0.0000 0.5000 0.5000  4 Cu 2.94, 4 Y 2.94
3 Y 0.2500 0.2500 0.2500  4 Pd 2.94, 4 Y 2.94
4 Y 0.2500 0.7500 0.7500  4 Pd 2.94, 4 Y 2.94
5 Y 0.5000 0.0000 0.5000  4 Cu 2.94, 4 Y 2.94
6 Y 0.5000 0.5000 0.0000  4 Cu 2.94, 4 Y 2.94
7 Y 0.7500 0.2500 0.7500  4 Pd 2.94, 4 Y 2.94
8 Y 0.7500 0.7500 0.2500  4 Pd 2.94, 4 Y 2.94
9 Cu 0.2500 0.2500 0.7500  4 Pd 2.94, 4 Y 2.94
10 Cu 0.2500 0.7500 0.2500  4 Pd 2.94, 4 Y 2.94
11 Cu 0.7500 0.2500 0.2500  4 Pd 2.94, 4 Y 2.94
12 Cu 0.7500 0.7500 0.7500  4 Pd 2.94, 4 Y 2.94
13 Pd 0.0000 0.0000 0.5000  4 Cu 2.94, 4 Y 2.94
14 Pd 0.0000 0.5000 0.0000  4 Cu 2.94, 4 Y 2.94
15 Pd 0.5000 0.0000 0.0000  4 Cu 2.94, 4 Y 2.94
16 Pd 0.5000 0.5000 0.5000  4 Cu 2.94, 4 Y 2.94

Results
Volume = 19.498 Å³ per atom
Space-group type = F-43m (216)
DFT formation energy = -262 meV/atom
Total magnetization = 0.00 Bohr magnetons per cell